# 1
Density functional theory data (PBE-GGA) for an optimized crystal structure of Hf2HgP2.

Summary:
- Total magnetization: 0.0 μB per formula unit
- Mass density: 10.920 g/cm3
- E_form: -642 meV per atom

Lattice parameters (Å, degrees): 7.466 7.466 3.380 90.00 90.00 90.00
Space group P4/mbm (No. 127)
Inequivalent atoms, fractional coordinates:
Hf1 0.145 0.355 0.000 (multiplicity 4)
Hg1 0.000 0.000 0.000 (multiplicity 2)
P1 0.144 0.644 0.500 (multiplicity 4)

# 2
Density functional theory data (PBE-GGA) for an optimized crystal structure of HfHg2PPd.

Summary:
- Total magnetization: 0.8 μB per formula unit
- Mass density: 8.073 g/cm3
- E_form: 1081 meV per atom

Lattice parameters (Å, degrees): 5.485 5.485 4.903 90.00 90.00 90.00
Space group P4/mmm (No. 123)
Inequivalent atoms, fractional coordinates:
Hf1 0.000 0.000 0.000 (multiplicity 1)
Hg1 0.000 0.500 0.000 (multiplicity 2)
P1 0.500 0.500 0.500 (multiplicity 1)
Pd1 0.000 0.000 0.500 (multiplicity 1)

# 3
Density functional theory data (PBE-GGA) for an optimized crystal structure of HfReHg2P.

Summary:
- Total magnetization: 2.3 μB per formula unit
- Mass density: 11.704 g/cm3
- E_form: 1180 meV per atom

Lattice parameters (Å, degrees): 4.797 4.797 4.913 90.00 90.00 90.00
Space group P4/mmm (No. 123)
Inequivalent atoms, fractional coordinates:
Hf1 0.000 0.000 0.000 (multiplicity 1)
Re1 0.500 0.500 0.000 (multiplicity 1)
Hg1 0.000 0.500 0.500 (multiplicity 2)
P1 0.000 0.000 0.500 (multiplicity 1)

# 4
Density functional theory data (PBE-GGA) for an optimized crystal structure of HfHgPS6.

Summary:
- Formation energy (no corrections): -0.472 eV/atom
- Total magnetization: 0.5 μB per formula unit
- Mass density: 3.316 g/cm3

Lattice parameters (Å, degrees): 6.322 7.102 7.816 88.15 67.50 69.57
Space group P1 (No. 1)
Inequivalent atoms, fractional coordinates:
Hf1 0.000 0.000 0.000 (multiplicity 1)
Hg1 0.616 0.474 0.776 (multiplicity 1)
P1 0.444 0.016 0.104 (multiplicity 1)
S1 0.187 0.890 0.245 (multiplicity 1)
S2 0.270 0.214 0.957 (multiplicity 1)
S3 0.291 0.733 0.732 (multiplicity 1)
S4 0.558 0.167 0.249 (multiplicity 1)
S5 0.771 0.790 0.940 (multiplicity 1)
S6 0.990 0.208 0.736 (multiplicity 1)